La2Tl2Zn (PBE-GGA, relaxed); distance to the lowest polymorph of the same formula = 0.231 eV/atom; ρ = 7.682 g cm⁻³; electronic total energy = -3.31 eV/atom; space group = No. 127; formation energy from the elements = -0.138 eV/atom
1.0
8.983 0.000 0.000
0.000 8.983 0.000
0.000 0.000 4.029
La Zn Tl
4 2 4
direct
0.323 0.823 0.000
0.177 0.323 0.000
0.677 0.177 0.000
0.823 0.677 0.000
0.000 0.000 0.000
0.500 0.500 0.000
0.376 0.124 0.500
0.876 0.376 0.500
0.624 0.876 0.500
0.124 0.624 0.500

***

La6Tl3Zn (PBE-GGA, relaxed); distance to the lowest polymorph of the same formula = 0.000 eV/atom; ρ = 8.026 g cm⁻³; electronic total energy = -4.10 eV/atom; space group = No. 11; formation energy from the elements = -0.310 eV/atom
1.0
-3.696 2.784 -2.982
-7.054 -5.828 3.301
0.777 9.369 7.785
La Zn Tl
12 2 6
direct
0.250 0.233 0.494
0.750 0.138 0.673
0.750 0.767 0.506
0.250 0.862 0.327
0.750 0.337 0.325
0.250 0.663 0.675
0.750 0.913 0.122
0.250 0.124 0.146
0.250 0.473 0.091
0.750 0.876 0.854
0.750 0.527 0.909
0.250 0.087 0.878
0.250 0.957 0.606
0.750 0.043 0.394
0.250 0.367 0.776
0.750 0.234 0.028
0.250 0.766 0.972
0.250 0.535 0.384
0.750 0.633 0.224
0.750 0.465 0.616

***

Question: The lowest distance to the lowest polymorph of the same formula belongs to which entry?
Answer: La6Tl3Zn

***

Repeat the second record exactly.
La6Tl3Zn (PBE-GGA, relaxed); distance to the lowest polymorph of the same formula = 0.000 eV/atom; ρ = 8.026 g cm⁻³; electronic total energy = -4.10 eV/atom; space group = No. 11; formation energy from the elements = -0.310 eV/atom
1.0
-3.696 2.784 -2.982
-7.054 -5.828 3.301
0.777 9.369 7.785
La Zn Tl
12 2 6
direct
0.250 0.233 0.494
0.750 0.138 0.673
0.750 0.767 0.506
0.250 0.862 0.327
0.750 0.337 0.325
0.250 0.663 0.675
0.750 0.913 0.122
0.250 0.124 0.146
0.250 0.473 0.091
0.750 0.876 0.854
0.750 0.527 0.909
0.250 0.087 0.878
0.250 0.957 0.606
0.750 0.043 0.394
0.250 0.367 0.776
0.750 0.234 0.028
0.250 0.766 0.972
0.250 0.535 0.384
0.750 0.633 0.224
0.750 0.465 0.616

***

Question: The lowest formation energy from the elements belongs to which entry?
Answer: La6Tl3Zn

***

Please write out number 1 again, unchanged.
La2Tl2Zn (PBE-GGA, relaxed); distance to the lowest polymorph of the same formula = 0.231 eV/atom; ρ = 7.682 g cm⁻³; electronic total energy = -3.31 eV/atom; space group = No. 127; formation energy from the elements = -0.138 eV/atom
1.0
8.983 0.000 0.000
0.000 8.983 0.000
0.000 0.000 4.029
La Zn Tl
4 2 4
direct
0.323 0.823 0.000
0.177 0.323 0.000
0.677 0.177 0.000
0.823 0.677 0.000
0.000 0.000 0.000
0.500 0.500 0.000
0.376 0.124 0.500
0.876 0.376 0.500
0.624 0.876 0.500
0.124 0.624 0.500